DFT (PBE+U) results for a geometry-optimized K4Pr3FeO8 structure.

Cell lengths 7.1083, 7.5061, 7.1059 Å; angles 118.23, 120.01, 90.00 degrees
Closest atoms and distances in Å follow each position.
Positions (direct):
O (0.7319, 0.6959, 0.4639)  3 Pr 2.39
O (0.2459, 0.3138, 0.0299)  1 Fe 2.23, 2 Pr 2.43
O (0.2160, 0.6862, 0.9701)  1 Fe 2.23, 2 Pr 2.43
O (0.7541, 0.6862, 0.9701)  1 Fe 2.23, 2 Pr 2.43
O (0.7840, 0.3138, 0.0299)  1 Fe 2.23, 2 Pr 2.43
O (0.2153, 0.6856, 0.4307)  1 Fe 2.22, 2 Pr 2.44
O (0.2681, 0.3041, 0.5361)  3 Pr 2.39
O (0.7847, 0.3144, 0.5693)  1 Fe 2.22, 2 Pr 2.44
Pr (0.5000, 0.5000, 0.0000)  6 O 2.39-2.43
Pr (0.5000, 0.5000, 0.5000)  6 O 2.39-2.44
Pr (0.0000, 0.5000, 0.5000)  6 O 2.39-2.44
K (0.5000, 0.0000, 0.5000)  6 O 2.79-2.80
K (0.0000, 0.0000, 0.5000)  6 O 2.79-2.80
K (0.0000, 0.0000, 0.0000)  6 O 2.79-2.80
K (0.5000, 0.0000, 0.0000)  6 O 2.96-2.97
Fe (0.0000, 0.5000, 0.0000)  6 O 2.22-2.23

* total DFT energy (no corrections): -6.2202 eV/atom
* N(E_F): 0.0 states/eV per cell
* space-group type: R-3m